[1]
La2Nd3Dy6 after structural relaxation, computed with PBE.

* crystal system: tetragonal
* total magnetization: 0.0 Bohr magnetons per cell
* density: 7.20 g/cm3
* SG: I4/mmm, No. 139
* ΔH_f (0 K): 251 meV/atom

Structure (CIF):
```
data_La2Nd3Dy6
_space_group_name_H-M_alt 'P 1'
_space_group_IT_number 1
_space_group_name_Hall 'P 1'
_cell_length_a 17.100
_cell_length_b 17.100
_cell_length_c 17.100
_cell_angle_alpha 163.81
_cell_angle_beta 163.81
_cell_angle_gamma 22.98
loop_
_atom_site_label
_atom_site_fract_x
_atom_site_fract_y
_atom_site_fract_z
La1 0.046 0.046 0.000
La2 0.954 0.954 0.000
Nd1 0.296 0.296 0.000
Nd2 0.500 0.500 0.000
Nd3 0.704 0.704 0.000
Dy1 0.122 0.622 0.500
Dy2 0.193 0.193 0.000
Dy3 0.378 0.878 0.500
Dy4 0.622 0.122 0.500
Dy5 0.807 0.807 0.000
Dy6 0.878 0.378 0.500
```



[2]
Th2Re3Si5 after structural relaxation, computed with PBE.

* crystal system: orthorhombic
* total magnetization: 0.0 Bohr magnetons per cell
* density: 10.91 g/cm3
* SG: Ibam, No. 72
* electronic total energy: -0.3129 hartree per atom

Structure (CIF):
```
data_Th2Re3Si5
_space_group_name_H-M_alt 'P 1'
_space_group_IT_number 1
_space_group_name_Hall 'P 1'
_cell_length_a 8.451
_cell_length_b 8.451
_cell_length_c 8.451
_cell_angle_alpha 108.51
_cell_angle_beta 85.12
_cell_angle_gamma 140.14
loop_
_atom_site_label
_atom_site_fract_x
_atom_site_fract_y
_atom_site_fract_z
Th1 0.133 0.234 0.367
Th2 0.367 0.734 0.101
Th3 0.633 0.266 0.899
Th4 0.867 0.766 0.633
Re1 0.149 0.905 0.054
Re2 0.250 0.750 0.500
Re3 0.351 0.405 0.756
Re4 0.649 0.595 0.244
Re5 0.750 0.250 0.500
Re6 0.851 0.095 0.946
Si1 0.042 0.750 0.292
Si2 0.099 0.667 0.767
Si3 0.250 0.250 0.000
Si4 0.401 0.167 0.568
Si5 0.458 0.750 0.708
Si6 0.542 0.250 0.292
Si7 0.599 0.833 0.432
Si8 0.750 0.750 0.000
Si9 0.901 0.333 0.233
Si10 0.958 0.250 0.708
```



[3]
AgSIO2 after structural relaxation, computed with PBE.

* crystal system: tetragonal
* total magnetization: 0.0 Bohr magnetons per cell
* density: 4.48 g/cm3
* SG: P4/mmm, No. 123
* electronic total energy: -0.1275 hartree per atom

Structure (CIF):
```
data_AgSIO2
_space_group_name_H-M_alt 'P 1'
_space_group_IT_number 1
_space_group_name_Hall 'P 1'
_cell_length_a 3.796
_cell_length_b 3.796
_cell_length_c 7.695
_cell_angle_alpha 90.00
_cell_angle_beta 90.00
_cell_angle_gamma 90.00
loop_
_atom_site_label
_atom_site_fract_x
_atom_site_fract_y
_atom_site_fract_z
Ag1 0.000 0.000 0.000
S1 0.500 0.500 0.500
I1 0.500 0.500 0.000
O1 0.000 0.500 0.500
O2 0.500 0.000 0.500
```



[4]
Sr2LaTl3 after structural relaxation, computed with PBE.

* crystal system: tetragonal
* total magnetization: 0.0 Bohr magnetons per cell
* density: 7.68 g/cm3
* SG: P4/mmm, No. 123
* ΔH_f (0 K): -420 meV/atom

Structure (CIF):
```
data_Sr2LaTl3
_space_group_name_H-M_alt 'P 1'
_space_group_IT_number 1
_space_group_name_Hall 'P 1'
_cell_length_a 4.032
_cell_length_b 4.032
_cell_length_c 12.331
_cell_angle_alpha 90.00
_cell_angle_beta 90.00
_cell_angle_gamma 90.00
loop_
_atom_site_label
_atom_site_fract_x
_atom_site_fract_y
_atom_site_fract_z
Sr1 0.000 0.000 0.168
Sr2 0.000 0.000 0.832
La1 0.000 0.000 0.500
Tl1 0.500 0.500 0.000
Tl2 0.500 0.500 0.341
Tl3 0.500 0.500 0.659
```



[5]
CeLuGaPb after structural relaxation, computed with PBE.

* crystal system: cubic
* total magnetization: 0.9 Bohr magnetons per cell
* density: 9.43 g/cm3
* SG: F-43m, No. 216
* ΔH_f (0 K): -372 meV/atom

Structure (CIF):
```
data_CeLuGaPb
_space_group_name_H-M_alt 'P 1'
_space_group_IT_number 1
_space_group_name_Hall 'P 1'
_cell_length_a 5.282
_cell_length_b 5.282
_cell_length_c 5.282
_cell_angle_alpha 60.00
_cell_angle_beta 60.00
_cell_angle_gamma 60.00
loop_
_atom_site_label
_atom_site_fract_x
_atom_site_fract_y
_atom_site_fract_z
Ce1 0.000 0.000 0.000
Lu1 0.500 0.500 0.500
Ga1 0.750 0.750 0.750
Pb1 0.250 0.250 0.250
```



[6]
SmTmTlRu after structural relaxation, computed with PBE.

* crystal system: cubic
* total magnetization: 0.0 Bohr magnetons per cell
* density: 11.04 g/cm3
* SG: F-43m, No. 216
* ΔH_f (0 K): -225 meV/atom

Structure (CIF):
```
data_SmTmTlRu
_space_group_name_H-M_alt 'P 1'
_space_group_IT_number 1
_space_group_name_Hall 'P 1'
_cell_length_a 5.104
_cell_length_b 5.104
_cell_length_c 5.104
_cell_angle_alpha 60.00
_cell_angle_beta 60.00
_cell_angle_gamma 60.00
loop_
_atom_site_label
_atom_site_fract_x
_atom_site_fract_y
_atom_site_fract_z
Sm1 0.000 0.000 0.000
Tm1 0.500 0.500 0.500
Tl1 0.250 0.250 0.250
Ru1 0.750 0.750 0.750
```



[7]
ZrReBr2 after structural relaxation, computed with PBE.

* crystal system: orthorhombic
* total magnetization: 1.0 Bohr magnetons per cell
* density: 8.92 g/cm3
* SG: Pmmm, No. 47
* electronic total energy: -0.2028 hartree per atom

Structure (CIF):
```
data_ZrReBr2
_space_group_name_H-M_alt 'P 1'
_space_group_IT_number 1
_space_group_name_Hall 'P 1'
_cell_length_a 3.079
_cell_length_b 4.622
_cell_length_c 5.717
_cell_angle_alpha 90.00
_cell_angle_beta 90.00
_cell_angle_gamma 90.00
loop_
_atom_site_label
_atom_site_fract_x
_atom_site_fract_y
_atom_site_fract_z
Zr1 0.000 0.000 0.000
Re1 0.500 0.000 0.500
Br1 0.000 0.500 0.500
Br2 0.500 0.500 0.000
```



[8]
Pr6Ir2IBr3 after structural relaxation, computed with PBE.

* crystal system: monoclinic
* total magnetization: 0.0 Bohr magnetons per cell
* density: 7.05 g/cm3
* SG: C2/m, No. 12
* electronic total energy: -0.2001 hartree per atom

Structure (CIF):
```
data_Pr6Ir2IBr3
_space_group_name_H-M_alt 'P 1'
_space_group_IT_number 1
_space_group_name_Hall 'P 1'
_cell_length_a 9.957
_cell_length_b 9.957
_cell_length_c 9.398
_cell_angle_alpha 102.47
_cell_angle_beta 102.47
_cell_angle_gamma 24.45
loop_
_atom_site_label
_atom_site_fract_x
_atom_site_fract_y
_atom_site_fract_z
Pr1 0.023 0.023 0.281
Pr2 0.321 0.321 0.448
Pr3 0.323 0.323 0.859
Pr4 0.677 0.677 0.141
Pr5 0.679 0.679 0.552
Pr6 0.977 0.977 0.719
Ir1 0.169 0.169 0.337
Ir2 0.831 0.831 0.663
I1 0.500 0.500 0.000
Br1 0.155 0.155 0.839
Br2 0.500 0.500 0.500
Br3 0.845 0.845 0.161
```



[9]
CsBiPd3 after structural relaxation, computed with PBE.

* crystal system: cubic
* total magnetization: 0.0 Bohr magnetons per cell
* density: 7.35 g/cm3
* SG: Pm-3m, No. 221
* ΔH_f (0 K): 233 meV/atom

Structure (CIF):
```
data_CsBiPd3
_space_group_name_H-M_alt 'P 1'
_space_group_IT_number 1
_space_group_name_Hall 'P 1'
_cell_length_a 5.305
_cell_length_b 5.305
_cell_length_c 5.305
_cell_angle_alpha 90.00
_cell_angle_beta 90.00
_cell_angle_gamma 90.00
loop_
_atom_site_label
_atom_site_fract_x
_atom_site_fract_y
_atom_site_fract_z
Cs1 0.000 0.000 0.000
Bi1 0.500 0.500 0.500
Pd1 0.000 0.500 0.500
Pd2 0.500 0.000 0.500
Pd3 0.500 0.500 0.000
```



[10]
Dy6YEr8 after structural relaxation, computed with PBE.

* crystal system: trigonal
* total magnetization: 0.0 Bohr magnetons per cell
* density: 8.17 g/cm3
* SG: P-3, No. 147
* ΔH_f (0 K): 238 meV/atom

Structure (CIF):
```
data_Dy6YEr8
_space_group_name_H-M_alt 'P 1'
_space_group_IT_number 1
_space_group_name_Hall 'P 1'
_cell_length_a 9.353
_cell_length_b 9.353
_cell_length_c 6.446
_cell_angle_alpha 90.00
_cell_angle_beta 90.00
_cell_angle_gamma 120.00
loop_
_atom_site_label
_atom_site_fract_x
_atom_site_fract_y
_atom_site_fract_z
Dy1 0.096 0.415 0.409
Dy2 0.319 0.904 0.409
Dy3 0.415 0.319 0.591
Dy4 0.585 0.681 0.409
Dy5 0.681 0.096 0.591
Dy6 0.904 0.585 0.591
Y1 0.000 0.000 0.500
Er1 0.023 0.688 0.097
Er2 0.312 0.335 0.097
Er3 0.333 0.667 0.840
Er4 0.335 0.023 0.903
Er5 0.665 0.977 0.097
Er6 0.667 0.333 0.160
Er7 0.688 0.665 0.903
Er8 0.977 0.312 0.903
```



[11]
Rb2RhF7 after structural relaxation, computed with PBE.

* crystal system: cubic
* total magnetization: 2.0 Bohr magnetons per cell
* density: 3.61 g/cm3
* SG: Fm-3m, No. 225
* electronic total energy: -0.1527 hartree per atom

Structure (CIF):
```
data_Rb2RhF7
_space_group_name_H-M_alt 'P 1'
_space_group_IT_number 1
_space_group_name_Hall 'P 1'
_cell_length_a 6.422
_cell_length_b 6.422
_cell_length_c 6.422
_cell_angle_alpha 60.00
_cell_angle_beta 60.00
_cell_angle_gamma 60.00
loop_
_atom_site_label
_atom_site_fract_x
_atom_site_fract_y
_atom_site_fract_z
Rb1 0.250 0.250 0.250
Rb2 0.750 0.750 0.750
Rh1 0.000 0.000 0.000
F1 0.213 0.213 0.787
F2 0.213 0.787 0.213
F3 0.213 0.787 0.787
F4 0.500 0.500 0.500
F5 0.787 0.213 0.213
F6 0.787 0.213 0.787
F7 0.787 0.787 0.213
```



[12]
Sr2ZrCu2O6 after structural relaxation, computed with PBE.

* crystal system: trigonal
* total magnetization: 2.0 Bohr magnetons per cell
* density: 4.89 g/cm3
* SG: R-3m, No. 166
* electronic total energy: -0.2402 hartree per atom

Structure (CIF):
```
data_Sr2ZrCu2O6
_space_group_name_H-M_alt 'P 1'
_space_group_IT_number 1
_space_group_name_Hall 'P 1'
_cell_length_a 6.430
_cell_length_b 6.430
_cell_length_c 6.430
_cell_angle_alpha 55.00
_cell_angle_beta 55.00
_cell_angle_gamma 55.00
loop_
_atom_site_label
_atom_site_fract_x
_atom_site_fract_y
_atom_site_fract_z
Sr1 0.211 0.211 0.211
Sr2 0.789 0.789 0.789
Zr1 0.000 0.000 0.000
Cu1 0.419 0.419 0.419
Cu2 0.581 0.581 0.581
O1 0.222 0.761 0.761
O2 0.239 0.239 0.778
O3 0.239 0.778 0.239
O4 0.761 0.222 0.761
O5 0.761 0.761 0.222
O6 0.778 0.239 0.239
```